No. 1
First-principles (GGA-PBEsol) data for a geometry-optimized ZrTl2Ir structure, as listed in the Alexandria database.

```
4
Lattice="3.1931 0.0000 0.0000 0.0000 5.1236 -0.0428 -1.5966 -2.5192 4.9676" Properties=species:S:1:pos:R:3 pbc="T T T"
Ir 1.5966 0.0000 0.0000
Tl 0.0000 0.0196 2.2933
Tl 1.5966 2.5848 2.6315
Zr 0.0000 2.5618 -0.0214
```

Properties
The calculation puts the offset from the most stable computed form at 7 meV per atom. As for the energy of formation from the pure elements: 0.08 eV per atom. The density of states at the Fermi level comes out at 3.2 states/eV per cell. For the calculated volume, the calculation gives 81 Å³/cell.

---

No. 2
First-principles (GGA-PBEsol) data for a geometry-optimized AsOsRu2 structure, as listed in the Alexandria database.

```
4
Lattice="-2.9256 -1.6681 -1.7830 -0.0465 -2.7520 2.6509 -2.4481 2.0570 2.0925" Properties=species:S:1:pos:R:3 pbc="T T T"
Ru -0.0232 -1.3760 1.3254
Ru -1.2240 1.0285 1.0462
As -2.7101 -1.1816 1.4802
Os -1.4628 -0.8341 -0.8915
```

Properties
As for the energy of formation from the pure elements: 0.47 eV per atom. The density of states at the Fermi level comes out at 7.3 states/eV per cell. For the calculated volume, the calculation gives 56 Å³/cell.

---

No. 3
First-principles (GGA-PBEsol) data for a geometry-optimized Mg2ZnCdOs structure, as listed in the Alexandria database.

```
5
Lattice="4.9416 0.0000 0.0000 0.0000 4.9416 0.0000 0.0000 0.0000 5.1330" Properties=species:S:1:pos:R:3 pbc="T T T"
Mg 2.4708 0.0000 0.0000
Mg 0.0000 2.4708 0.0000
Cd 0.0000 0.0000 2.5665
Zn 2.4708 2.4708 2.5665
Os 0.0000 0.0000 0.0000
```

Properties
As for the energy of formation from the pure elements: 0.86 eV per atom. The density of states at the Fermi level comes out at 3.8 states/eV per cell. For the calculated volume, the calculation gives 125 Å³/cell.

---

No. 4
First-principles (GGA-PBEsol) data for a geometry-optimized ReAg2Se structure, as listed in the Alexandria database.

```
4
Lattice="2.8228 0.0000 0.0000 1.4114 2.4446 0.0000 1.4114 0.8149 9.5742" Properties=species:S:1:pos:R:3 pbc="T T T"
Re 2.8228 1.6298 4.7871
Ag 4.2343 2.4446 7.0991
Ag 1.4114 0.8149 2.4751
Se 0.0000 0.0000 0.0000
```

Properties
The density of states at the Fermi level comes out at 2.9 states/eV per cell. For the calculated volume, the calculation gives 66 Å³/cell. Its formation energy without anion corrections is 0.511 eV per atom.

---

No. 5
First-principles (GGA-PBEsol) data for a geometry-optimized InHgBr2 structure, as listed in the Alexandria database.

```
4
Lattice="4.2746 0.0000 0.0000 0.0000 4.2746 0.0000 -2.1373 -2.1373 6.1497" Properties=species:S:1:pos:R:3 pbc="T T T"
Br 2.1373 0.0000 3.0749
Br 0.0000 0.0000 0.0000
Hg 2.1373 2.1373 0.0000
In 0.0000 2.1373 3.0749
```

Properties
The calculation puts the offset from the most stable computed form at 162 meV per atom. The density of states at the Fermi level comes out at 1.7 states/eV per cell. For the calculated volume, the calculation gives 112 Å³/cell. Its formation energy without anion corrections is -0.292 eV per atom.

---

No. 6
First-principles (GGA-PBEsol) data for a geometry-optimized Cr2TcMo structure, as listed in the Alexandria database.

```
4
Lattice="2.9343 0.0000 0.0000 0.0000 2.9343 0.0000 0.0000 0.0000 6.0025" Properties=species:S:1:pos:R:3 pbc="T T T"
Tc 1.4671 1.4671 4.5996
Cr 1.4671 1.4671 1.4187
Cr 0.0000 0.0000 0.0800
Mo 0.0000 0.0000 2.9055
```

Properties
The calculation puts the offset from the most stable computed form at 7 meV per atom. As for the energy of formation from the pure elements: 0.08 eV per atom. The density of states at the Fermi level comes out at 3.7 states/eV per cell. For the calculated volume, the calculation gives 52 Å³/cell.

---

No. 7
First-principles (GGA-PBEsol) data for a geometry-optimized ScTlCl3 structure, as listed in the Alexandria database.

```
5
Lattice="4.9906 0.0000 0.0000 0.0000 4.9906 0.0000 0.0000 0.0000 4.9906" Properties=species:S:1:pos:R:3 pbc="T T T"
Tl 2.4953 2.4953 2.4953
Cl 0.0000 0.0000 2.4953
Cl 0.0000 2.4953 0.0000
Cl 2.4953 0.0000 0.0000
Sc 0.0000 0.0000 0.0000
```

Properties
The density of states at the Fermi level comes out at 3.6 states/eV per cell. For the calculated volume, the calculation gives 124 Å³/cell. Its formation energy without anion corrections is -1.470 eV per atom.

---

No. 8
First-principles (GGA-PBEsol) data for a geometry-optimized HfMnIr2 structure, as listed in the Alexandria database.

```
4
Lattice="4.4333 0.0000 0.0000 2.2166 3.8393 0.0000 2.2166 1.2798 3.6198" Properties=species:S:1:pos:R:3 pbc="T T T"
Hf 4.4333 2.5596 1.8099
Ir 2.2166 1.2798 0.9049
Ir 6.6499 3.8393 2.7148
Mn 0.0000 0.0000 0.0000
```

Properties
As for the energy of formation from the pure elements: -0.53 eV per atom. The density of states at the Fermi level comes out at 0.6 states/eV per cell. For the calculated volume, the calculation gives 62 Å³/cell.

---

No. 9
First-principles (GGA-PBEsol) data for a geometry-optimized La2BeBr structure, as listed in the Alexandria database.

```
4
Lattice="3.9583 0.0000 0.0000 0.0000 4.4926 0.0000 0.0000 0.0000 6.0009" Properties=species:S:1:pos:R:3 pbc="T T T"
Br 1.9791 2.2463 0.0000
Be 0.0000 0.0000 3.0004
La 1.9791 2.2463 3.0004
La 0.0000 0.0000 0.0000
```

Properties
The calculation puts the offset from the most stable computed form at 0 meV per atom. The density of states at the Fermi level comes out at 3.0 states/eV per cell. For the calculated volume, the calculation gives 107 Å³/cell. Its formation energy without anion corrections is -0.549 eV per atom.

---

No. 10
First-principles (GGA-PBEsol) data for a geometry-optimized KBaTe2 structure, as listed in the Alexandria database.

```
4
Lattice="-0.0780 -3.4809 4.6275 4.7925 -0.7059 3.1735 0.3048 2.2552 5.3252" Properties=species:S:1:pos:R:3 pbc="T T T"
Te 0.0000 0.0000 0.0000
Te 3.7645 -1.4487 9.8446
Ba 2.5096 -0.9658 6.5631
K 1.2548 -0.4829 3.2815
```

Properties
The density of states at the Fermi level comes out at 5.3 states/eV per cell. For the calculated volume, the calculation gives 137 Å³/cell. Its formation energy without anion corrections is -0.734 eV per atom.

---

No. 11
First-principles (GGA-PBEsol) data for a geometry-optimized Ga2Ag2TeSe3 structure, as listed in the Alexandria database.

```
8
Lattice="-5.2405 2.8048 -0.3525 -1.4911 -3.3876 -4.7862 1.0408 -3.6301 5.9309" Properties=species:S:1:pos:R:3 pbc="T T T"
Se -3.1513 -1.0173 1.4212
Se -2.7986 -0.5950 -2.5312
Se -1.1894 -3.9181 -0.5381
Ga -2.6903 -3.4114 1.3098
Ga -4.2032 -0.1577 -0.5985
Ag 0.5452 -3.0830 3.7464
Ag -2.4445 -3.1591 -2.6992
Te -4.5059 2.4116 -0.3031
```

Properties
For the calculated volume, the calculation gives 204 Å³/cell. Its formation energy without anion corrections is -0.361 eV per atom.

---

No. 12
First-principles (GGA-PBEsol) data for a geometry-optimized Al2CdSi structure, as listed in the Alexandria database.

```
4
Lattice="4.0916 0.0000 0.0000 0.0000 4.0916 0.0000 -2.0458 -2.0458 4.1757" Properties=species:S:1:pos:R:3 pbc="T T T"
Al 0.0000 0.0000 0.0000
Al 2.0458 0.0000 2.0879
Si 0.0000 2.0458 2.0879
Cd 2.0458 2.0458 0.0000
```

Properties
The calculation puts the offset from the most stable computed form at 70 meV per atom. The density of states at the Fermi level comes out at 1.7 states/eV per cell. For the calculated volume, the calculation gives 70 Å³/cell. Its formation energy without anion corrections is 0.242 eV per atom.

---

| no. | theoretical density (g/cm³) |
| --- | --- |
| 1 | 14.2 |
| 2 | 13.9 |
| 3 | 5.5 |
| 4 | 12.1 |
| 5 | 7.0 |
| 6 | 9.6 |
| 7 | 4.8 |
| 8 | 16.7 |
| 9 | 5.7 |
| 10 | 5.2 |
| 11 | 5.9 |
| 12 | 4.6 |